Computed, not measured: an optimized crystal structure of Ca3AgAu2 at the PBE level of DFT.

Computed properties:
Relative energy among the computed polymorphs, eV/atom: 0.0000
Calculated volume, Å³/f.u.: 147
Crystal system: orthorhombic
E_form, kJ/mol of formula units: -367

```
data_Ca3AgAu2
_chemical_formula_sum 'Ca6 Ag2 Au4'
_cell_length_a 5.151
_cell_length_b 15.430
_cell_length_c 3.702
_cell_angle_alpha 90.00
_cell_angle_beta 90.00
_cell_angle_gamma 90.00
_symmetry_space_group_name_H-M 'C m m m'
_symmetry_Int_Tables_number 65
_symmetry_space_group_name_Hall '-C 2 2'
loop_
_atom_site_label
_atom_site_type_symbol
_atom_site_fract_x
_atom_site_fract_y
_atom_site_fract_z
Ca1 Ca 0.000 0.000 0.000
Ca2 Ca 0.000 0.329 0.000
Ag1 Ag 0.000 0.500 0.500
Au1 Au 0.000 0.162 0.500
```

=====

Computed, not measured: an optimized crystal structure of Ca2Ag5Au12 at the PBE level of DFT.

Computed properties:
Calculated volume, Å³/f.u.: 382
Crystal system: trigonal
E_form, kJ/mol of formula units: -430

```
data_Ca2Ag5Au12
_chemical_formula_sum 'Ca6 Ag15 Au36'
_cell_length_a 9.6044
_cell_length_b 9.6044
_cell_length_c 14.3448
_cell_angle_alpha 90.00
_cell_angle_beta 90.00
_cell_angle_gamma 120.00
_symmetry_space_group_name_H-M 'R -3 m'
_symmetry_Int_Tables_number 166
_symmetry_space_group_name_Hall '-R 3 2"'
loop_
_atom_site_label
_atom_site_type_symbol
_atom_site_fract_x
_atom_site_fract_y
_atom_site_fract_z
Ca1 Ca 0.0000 0.0000 0.1527
Ag1 Ag 0.0000 0.0000 0.4025
Ag2 Ag 0.0000 0.5000 0.0000
Au1 Au 0.0000 0.3095 0.5000
Au2 Au 0.0021 0.5011 0.6536
```

=====

> What is the E_form in the first record?

-367 kJ/mol of formula units

=====

> The lowest calculated volume belongs to which entry?

Ca3AgAu2